VASP calculation (GGA-PBE) on an optimized crystal structure of TcRhI2.

Summary:
As for the uncorrected formation energy: 0.910 eV/atom. Its calculated total energy is -0.31564 Ry per atom. As for the space-group type: Fm-3m. The polymorph energy (0 for the lowest one) is 170 meV per atom.

```
TcRhI2
1.0
0.000 3.418 3.418
3.418 0.000 3.418
3.418 3.418 0.000
I Tc Rh
2 1 1
direct
0.750 0.750 0.750 I
0.250 0.250 0.250 I
0.000 0.000 0.000 Tc
0.500 0.500 0.500 Rh
```

VASP calculation (GGA-PBE) on an optimized crystal structure of TcRhI2.

Summary:
As for the uncorrected formation energy: 0.740 eV/atom. Its calculated total energy is -0.32810 Ry per atom. As for the space-group type: I-42d. The polymorph energy (0 for the lowest one) is 0 meV per atom.

```
TcRhI2
1.0
-0.361 4.217 4.245
-4.711 -2.822 2.403
1.162 -2.502 6.817
Tc I Rh
2 4 2
direct
0.250 0.750 0.500 Tc
0.500 0.500 0.000 Tc
0.128 0.625 0.250 I
0.375 0.378 0.750 I
0.875 0.872 0.750 I
0.622 0.125 0.250 I
0.000 0.000 0.000 Rh
0.750 0.250 0.500 Rh
```

VASP calculation (GGA-PBE) on an optimized crystal structure of TcTeRhI2.

Summary:
As for the uncorrected formation energy: 1.061 eV/atom. Its calculated total energy is -0.27423 Ry per atom. As for the space-group type: P4/mmm. The polymorph energy (0 for the lowest one) is 125 meV per atom.

```
TcTeRhI2
1.0
-0.359 -0.897 5.477
5.539 0.287 0.410
-0.314 4.932 0.787
Tc I Te Rh
1 2 1 1
direct
0.000 0.000 0.000 Tc
0.000 0.500 0.000 I
0.500 0.000 0.000 I
0.000 0.000 0.500 Te
0.500 0.500 0.500 Rh
```

VASP calculation (GGA-PBE) on an optimized crystal structure of TcTeRhI2.

Summary:
As for the uncorrected formation energy: 0.935 eV/atom. Its calculated total energy is -0.28345 Ry per atom. As for the space-group type: P4/mmm. The polymorph energy (0 for the lowest one) is 0 meV per atom.

```
TcTeRhI2
1.0
-4.006 -2.132 -2.838
3.064 0.084 -4.387
1.777 -4.867 1.148
Rh I Tc Te
1 2 1 1
direct
0.000 0.000 0.000 Rh
0.000 0.500 0.000 I
0.500 0.000 0.000 I
0.500 0.500 0.500 Tc
0.000 0.000 0.500 Te
```

VASP calculation (GGA-PBE) on an optimized crystal structure of TcRhW2I.

Summary:
As for the uncorrected formation energy: 2.193 eV/atom. Its calculated total energy is -0.50284 Ry per atom. As for the space-group type: P4/mmm.

```
TcRhW2I
1.0
-2.703 -3.761 0.714
2.891 -2.705 -3.308
2.786 -1.333 3.524
Rh W I Tc
1 2 1 1
direct
0.500 0.500 0.500 Rh
0.000 0.000 0.500 W
0.500 0.000 0.000 W
0.000 0.500 0.000 I
0.000 0.000 0.000 Tc
```

VASP calculation (GGA-PBE) on an optimized crystal structure of Te2Rh2I.

Summary:
As for the uncorrected formation energy: -0.321 eV/atom. Its calculated total energy is -0.35488 Ry per atom. As for the space-group type: I4/mmm.

```
Te2Rh2I
1.0
4.027 0.000 0.000
0.000 4.027 0.000
2.013 2.013 8.132
Te Rh I
2 2 1
direct
0.648 0.648 0.704 Te
0.352 0.352 0.296 Te
0.250 0.750 0.500 Rh
0.750 0.250 0.500 Rh
0.000 0.000 0.000 I
```

VASP calculation (GGA-PBE) on an optimized crystal structure of TeRhI2.

Summary:
As for the uncorrected formation energy: 0.810 eV/atom. Its calculated total energy is -0.19025 Ry per atom. As for the space-group type: Fm-3m.

```
TeRhI2
1.0
-4.383 -0.488 2.874
-4.551 1.946 -1.791
-3.823 -3.263 -1.564
Rh I Te
1 2 1
direct
0.000 0.000 0.000 Rh
0.250 0.250 0.250 I
0.750 0.750 0.750 I
0.500 0.500 0.500 Te
```

VASP calculation (GGA-PBE) on an optimized crystal structure of TeRhI2.

Summary:
As for the uncorrected formation energy: 0.132 eV/atom. Its calculated total energy is -0.24009 Ry per atom. As for the space-group type: I-42d.

```
TeRhI2
1.0
10.290 0.000 0.000
0.000 10.290 0.000
5.145 5.145 2.627
Rh Te I
2 2 4
direct
0.250 0.750 0.500 Rh
0.500 0.500 0.000 Rh
0.750 0.250 0.500 Te
0.000 0.000 0.000 Te
0.451 0.125 0.250 I
0.375 0.549 0.750 I
0.875 0.701 0.750 I
0.299 0.625 0.250 I
```

VASP calculation (GGA-PBE) on an optimized crystal structure of TeRhI3.

Summary:
As for the uncorrected formation energy: 0.284 eV/atom. Its calculated total energy is -0.20176 Ry per atom. As for the space-group type: Pm-3m. The polymorph energy (0 for the lowest one) is 0 meV per atom.

```
TeRhI3
1.0
5.371 0.000 0.000
0.000 5.371 0.000
0.000 0.000 5.371
I Rh Te
3 1 1
direct
0.000 0.500 0.000 I
0.000 0.000 0.500 I
0.500 0.000 0.000 I
0.000 0.000 0.000 Rh
0.500 0.500 0.500 Te
```

VASP calculation (GGA-PBE) on an optimized crystal structure of TeRh2I2.

Summary:
As for the uncorrected formation energy: 0.334 eV/atom. Its calculated total energy is -0.28330 Ry per atom. As for the space-group type: I4/mmm. The polymorph energy (0 for the lowest one) is 0 meV per atom.

```
TeRh2I2
1.0
3.957 0.000 0.000
0.000 3.957 0.000
1.979 1.979 8.186
I Te Rh
2 1 2
direct
0.641 0.641 0.718 I
0.359 0.359 0.282 I
0.000 0.000 0.000 Te
0.750 0.250 0.500 Rh
0.250 0.750 0.500 Rh
```

VASP calculation (GGA-PBE) on an optimized crystal structure of Te4Rh2I.

Summary:
As for the uncorrected formation energy: -0.242 eV/atom. Its calculated total energy is -0.32039 Ry per atom. As for the space-group type: C2/c.

```
Te4Rh2I
1.0
8.094 -0.859 -3.315
-3.245 7.385 -3.489
-0.457 -0.467 7.487
Te Rh I
8 4 2
direct
0.820 0.177 0.735 Te
0.914 0.557 0.735 Te
0.336 0.193 0.765 Te
0.430 0.573 0.765 Te
0.807 0.664 0.235 Te
0.443 0.086 0.265 Te
0.822 0.180 0.265 Te
0.428 0.570 0.235 Te
0.625 0.875 0.250 Rh
0.125 0.375 0.750 Rh
0.625 0.375 0.250 Rh
0.625 0.375 0.750 Rh
0.000 0.000 0.000 I
0.250 0.750 0.500 I
```

VASP calculation (GGA-PBE) on an optimized crystal structure of Te3RhI.

Summary:
As for the uncorrected formation energy: 0.294 eV/atom. Its calculated total energy is -0.24778 Ry per atom. As for the space-group type: Pm-3m. The polymorph energy (0 for the lowest one) is 0 meV per atom.

```
Te3RhI
1.0
5.280 0.000 0.000
0.000 5.280 0.000
0.000 0.000 5.280
Te Rh I
3 1 1
direct
0.500 0.000 0.000 Te
0.000 0.500 0.000 Te
0.000 0.000 0.500 Te
0.000 0.000 0.000 Rh
0.500 0.500 0.500 I
```